Compound: CuTcRh2
Source: Alexandria via LeMat-Bulk
Functional: meta-GGA SCAN
Structure: single point on PBEsol structure Values from VASP.

Calculated values
total DFT energy (no corrections)	-29.52	eV/atom
distance to the lowest polymorph of the same formula	0.000	eV per atom
space group	No. 123

The structure in Quantum ESPRESSO input format:
```
&SYSTEM
  ibrav = 0, nat = 4, ntyp = 3
/
ATOMIC_SPECIES
Cu 63.55 Cu.upf
Tc 98.00 Tc.upf
Rh 102.91 Rh.upf
ATOMIC_POSITIONS crystal
Cu 0.000 0.000 0.000
Tc 0.000 0.000 0.500
Rh 0.500 0.500 0.249
Rh 0.500 0.500 0.751
CELL_PARAMETERS angstrom
2.706 0.000 0.000
0.000 2.706 0.000
0.000 0.000 7.167
```

Compound: Ba5Mg
Source: Alexandria via LeMat-Bulk
Functional: meta-GGA SCAN
Structure: single point on PBEsol structure Values from VASP.

Calculated values
total DFT energy (no corrections)	-33.75	eV/atom
distance to the lowest polymorph of the same formula	0.034	eV per atom
space group	No. 38

The structure in Quantum ESPRESSO input format:
```
&SYSTEM
  ibrav = 0, nat = 6, ntyp = 2
/
ATOMIC_SPECIES
Ba 137.33 Ba.upf
Mg 24.30 Mg.upf
ATOMIC_POSITIONS crystal
Ba 0.000 0.000 0.000
Ba 0.000 0.299 0.299
Ba 0.500 0.150 0.150
Ba 0.500 0.482 0.482
Ba 0.500 0.820 0.820
Mg 0.000 0.650 0.650
CELL_PARAMETERS angstrom
6.485 0.000 0.000
0.000 2.405 9.800
0.000 -2.405 9.800
```

In the order shown, the computed energy relative to the elements values come out to -0.072; 0.039 eV/atom.